(1)
The following is a DFT calculation (PBE) of an optimized crystal structure of AlCoOs2.

Uncorrected energy = -33.8 eV per cell
ΔE_f = -0.54 eV/f.u.

a b c (Å): 2.816 2.816 6.641
angles (deg): 90.00 90.00 90.00
Element x y z (fractional)
Os  0.000  0.000  0.991
Os  0.500  0.500  0.255
Al  0.000  0.000  0.520
Co  0.500  0.500  0.734

=====

(2)
The following is a DFT calculation (PBE) of an optimized crystal structure of Al2CoOs.

Uncorrected energy = -26.6 eV per cell
ΔE_f = -0.80 eV/f.u.

a b c (Å): 3.114 3.114 5.521
angles (deg): 90.00 90.00 90.00
Element x y z (fractional)
Co  0.000  0.000  0.474
Al  0.000  0.000  0.986
Al  0.500  0.500  0.273
Os  0.500  0.500  0.766

=====

(3)
The following is a DFT calculation (PBE) of an optimized crystal structure of AlCoOs2.

Uncorrected energy = -55.4 eV per cell
ΔE_f = 5.63 eV/f.u.

a b c (Å): 5.732 5.732 6.217
angles (deg): 62.55 62.55 90.00
Element x y z (fractional)
Os  0.660  0.125  0.250
Os  0.875  0.910  0.750
Os  0.375  0.340  0.750
Os  0.090  0.625  0.250
Al  0.500  0.500  0.000
Al  0.250  0.750  0.500
Co  0.750  0.250  0.500
Co  0.000  0.000  0.000

=====

(4)
The following is a DFT calculation (PBE) of an optimized crystal structure of Al2CoOs.

Uncorrected energy = -26.1 eV per cell
ΔE_f = -0.31 eV/f.u.

a b c (Å): 8.427 8.427 8.427
angles (deg): 18.94 18.94 18.94
Element x y z (fractional)
Os  0.754  0.754  0.754
Al  0.243  0.243  0.243
Al  0.002  0.002  0.002
Co  0.500  0.500  0.500

=====

(5)
The following is a DFT calculation (PBE) of an optimized crystal structure of AlCoOs2.

Uncorrected energy = -33.6 eV per cell
ΔE_f = -0.29 eV/f.u.

a b c (Å): 3.710 2.744 5.940
angles (deg): 62.50 90.00 90.00
Element x y z (fractional)
Os  0.500  0.261  0.239
Os  0.000  0.995  0.005
Co  0.500  0.763  0.737
Al  0.000  0.481  0.519

=====

(6)
The following is a DFT calculation (PBE) of an optimized crystal structure of AlCo2Os.

Uncorrected energy = -29.6 eV per cell
ΔE_f = -0.44 eV/f.u.

a b c (Å): 4.425 4.425 4.425
angles (deg): 130.71 130.71 72.27
Element x y z (fractional)
Co  0.000  0.000  0.000
Co  0.500  0.500  0.000
Os  0.250  0.750  0.500
Al  0.750  0.250  0.500